[1]
First-principles (PBE-GGA) data for a relaxed CoTcSnMo crystal, as listed in OQMD via LeMat-Bulk.

The structure belongs to space group F-43m (No. 216); the cell edges are 6.2610, 6.2610 and 6.2610 Å and the angles 90.00°, 90.00° and 90.00°. The distinct sites, in fractional coordinates, are Co at (0.0000, 0.0000, 0.0000), Tc at (0.0000, 0.0000, 0.5000), Sn at (0.2500, 0.2500, 0.7500) and Mo at (0.2500, 0.2500, 0.2500).

Its theoretical density is 10.06 Mg/m³. The calculation puts the total magnetic moment at 0.48 μB per atom. Its energy above the most stable polymorph in this dataset is 0 meV per atom.


[2]
First-principles (PBE-GGA) data for a relaxed YCoSnMo crystal, as listed in OQMD via LeMat-Bulk.

The structure belongs to space group F-43m (No. 216); the cell edges are 6.7391, 6.7391 and 6.7391 Å and the angles 90.00°, 90.00° and 90.00°. The distinct sites, in fractional coordinates, are Y at (0.0000, 0.0000, 0.0000), Co at (0.0000, 0.0000, 0.5000), Sn at (0.2500, 0.2500, 0.2500) and Mo at (0.2500, 0.2500, 0.7500).

Its theoretical density is 7.87 Mg/m³. The calculation puts the total magnetic moment at 0.98 μB per atom. Its energy above the most stable polymorph in this dataset is 215 meV per atom.


[3]
First-principles (PBE-GGA) data for a relaxed YCoSnMo crystal, as listed in OQMD via LeMat-Bulk.

The structure belongs to space group F-43m (No. 216); the cell edges are 6.6481, 6.6481 and 6.6481 Å and the angles 90.00°, 90.00° and 90.00°. The distinct sites, in fractional coordinates, are Y at (0.0000, 0.0000, 0.0000), Co at (0.2500, 0.2500, 0.7500), Sn at (0.0000, 0.0000, 0.5000) and Mo at (0.2500, 0.2500, 0.2500).

Its theoretical density is 8.19 Mg/m³. The calculation puts the total magnetic moment at 0.49 μB per atom. Its energy above the most stable polymorph in this dataset is 0 meV per atom.